Entry 1:
VASP calculation (GGA-PBE) on a geometry-optimized Al2Zn2Au7 structure.

calculated formation energy: -0.2284 eV/atom
space group: Imm2 (44)
offset from the most stable computed form: 0.000 eV per atom
total moment: 0.00 μB/f.u.

Unit cell a=4.328 b=7.071 c=7.415 alpha=118.48 beta=106.97 gamma=90.00
Element x y z (fractional)
Au: 0.640 0.760 0.281
Au: 0.857 0.185 0.713
Au: 0.143 0.472 0.287
Au: 0.843 0.750 0.686
Au: 0.360 0.479 0.719
Au: 0.500 0.956 0.000
Au: 0.157 0.063 0.314
Al: 0.702 0.317 0.403
Al: 0.298 0.914 0.597
Zn: 0.500 0.326 0.000
Zn: 0.000 0.631 0.000

Entry 2:
VASP calculation (GGA-PBE) on a geometry-optimized NdEuRu structure.

calculated formation energy: 0.0347 eV/atom
space group: F-43m (216)
offset from the most stable computed form: 0.077 eV per atom
total moment: 7.01 μB/f.u.

Unit cell a=4.913 b=4.913 c=4.913 alpha=60.00 beta=60.00 gamma=60.00
Each line ends with the local moment (μB).
Element x y z (fractional)
Ru: 0.250 0.250 0.250  -0.18
Nd: 0.500 0.500 0.500  0.06
Eu: 0.000 0.000 0.000  6.79

> The lowest total moment belongs to which entry?

Al2Zn2Au7

> What is the calculated formation energy in the second record?

0.0347 eV/atom

> Which formula does entry 1 have?

Al2Zn2Au7